VASP calculation (PBE) on Eu2PaGa after structural relaxation.

POSCAR file:
```
Eu2PaGa
1.0
1.658 0.957 11.724
-1.658 0.957 11.724
0.000 -1.915 11.724
Eu Pa Ga
2 1 1
Cartesian
0.000 0.000 3.321
0.000 0.000 31.850
0.000 0.000 0.000
0.000 0.000 17.585
```

## Properties
Crystal system: trigonal
Final energy: -8.025 eV/atom